[1]
## RbAgHg3 (PBE-GGA)

Data for a relaxed structure of RbAgHg3.

DOS at the Fermi energy ... 1.489 states/eV/f.u.
Crystal system ... hexagonal
E above lowest polymorph ... 2.7 meV/atom
Calculated formation energy ... -113 meV/atom
Space group ... No. 194

Unit cell a=6.3204 b=7.4604 c=7.4605 alpha=120.04 beta=90.00 gamma=90.00
Atoms (fractional coordinates):
Rb 0.7499 0.6667 0.3334
Rb 0.2501 0.3333 0.6666
Ag 0.0000 0.0000 0.0000
Ag 0.5000 0.0000 0.0000
Hg 0.7500 0.6166 0.8083
Hg 0.2500 0.8083 0.6166
Hg 0.2500 0.3834 0.1917
Hg 0.7500 0.1917 0.3834
Hg 0.2500 0.8083 0.1915
Hg 0.7500 0.1917 0.8085

---

[2]
## Sr2YIr2 (PBE-GGA)

Data for a relaxed structure of Sr2YIr2.

DOS at the Fermi energy ... 5.382 states/eV/f.u.
Crystal system ... tetragonal
Calculated formation energy ... -264 meV/atom
Space group ... No. 127

Unit cell a=7.3963 b=7.3963 c=4.8785 alpha=90.00 beta=90.00 gamma=90.00
Atoms (fractional coordinates):
Y 0.0000 0.0000 0.0000
Y 0.5000 0.5000 0.0000
Sr 0.1710 0.6710 0.5000
Sr 0.6710 0.8290 0.5000
Sr 0.8290 0.3290 0.5000
Sr 0.3290 0.1710 0.5000
Ir 0.3796 0.8796 0.0000
Ir 0.8796 0.6204 0.0000
Ir 0.6204 0.1204 0.0000
Ir 0.1204 0.3796 0.0000

---

What did the second record say?
## Sr2YIr2 (PBE-GGA)

Data for a relaxed structure of Sr2YIr2.

DOS at the Fermi energy ... 5.382 states/eV/f.u.
Crystal system ... tetragonal
Calculated formation energy ... -264 meV/atom
Space group ... No. 127

Unit cell a=7.3963 b=7.3963 c=4.8785 alpha=90.00 beta=90.00 gamma=90.00
Atoms (fractional coordinates):
Y 0.0000 0.0000 0.0000
Y 0.5000 0.5000 0.0000
Sr 0.1710 0.6710 0.5000
Sr 0.6710 0.8290 0.5000
Sr 0.8290 0.3290 0.5000
Sr 0.3290 0.1710 0.5000
Ir 0.3796 0.8796 0.0000
Ir 0.8796 0.6204 0.0000
Ir 0.6204 0.1204 0.0000
Ir 0.1204 0.3796 0.0000

---

> What is the calculated formation energy in the first record?

-113 meV/atom

---

Repeat the first record exactly.
## RbAgHg3 (PBE-GGA)

Data for a relaxed structure of RbAgHg3.

DOS at the Fermi energy ... 1.489 states/eV/f.u.
Crystal system ... hexagonal
E above lowest polymorph ... 2.7 meV/atom
Calculated formation energy ... -113 meV/atom
Space group ... No. 194

Unit cell a=6.3204 b=7.4604 c=7.4605 alpha=120.04 beta=90.00 gamma=90.00
Atoms (fractional coordinates):
Rb 0.7499 0.6667 0.3334
Rb 0.2501 0.3333 0.6666
Ag 0.0000 0.0000 0.0000
Ag 0.5000 0.0000 0.0000
Hg 0.7500 0.6166 0.8083
Hg 0.2500 0.8083 0.6166
Hg 0.2500 0.3834 0.1917
Hg 0.7500 0.1917 0.3834
Hg 0.2500 0.8083 0.1915
Hg 0.7500 0.1917 0.8085

---

> DOS at the Fermi energy of number 1 (RbAgHg3)?

1.489 states/eV/f.u.